--- i ---
Material: MnAlAsBr2
Method: DFT, PBE
State: relaxed

a b c (Å): 5.3395 5.3395 4.7565
angles (deg): 90.00 90.00 90.00
With the nearest neighbours (Å) after each atom.
Positions (direct):
Br1 0.5000 0.0000 0.0000  2 Mn 2.67
Br2 0.0000 0.5000 0.0000  2 Mn 2.67
Mn1 0.0000 0.0000 0.0000  2 As 2.38
Al1 0.5000 0.5000 0.5000  8 Br 3.58, 4 As 3.78
As1 0.0000 0.0000 0.5000  2 Mn 2.38

Results
Theoretical density (g/cm³): 3.877
Magnetization (μB/cell): 2.99
Space group: P4/mmm (123)
Volume (Å³ per atom): 27.12



--- ii ---
Material: MnAlAsBr2
Method: DFT, PBE
State: relaxed

a b c (Å): 4.9575 4.9575 5.2075
angles (deg): 90.00 90.00 90.00
With the nearest neighbours (Å) after each atom.
Positions (direct):
As1 0.0000 0.0000 0.5000  2 Al 2.60
Mn1 0.5000 0.5000 0.5000  4 As 3.51, 8 Br 3.59
Al1 0.0000 0.0000 0.0000  4 Br 2.48, 2 As 2.60
Br1 0.0000 0.5000 0.0000  2 Al 2.48
Br2 0.5000 0.0000 0.0000  2 Al 2.48

Results
Theoretical density (g/cm³): 4.108
Magnetization (μB/cell): 4.76
Space group: P4/mmm (123)
Volume (Å³ per atom): 25.60



What should be chosen as the least stable of them? Choose ii.



--- i ---
Material: AlMoAsBr2
Method: DFT, PBE
State: relaxed

a b c (Å): 5.3591 5.3591 4.8759
angles (deg): 90.00 90.00 90.00
With the nearest neighbours (Å) after each atom.
Positions (direct):
Br1 0.0000 0.5000 0.0000  2 Mo 2.68
Br2 0.5000 0.0000 0.0000  2 Mo 2.68
Al1 0.5000 0.5000 0.5000  8 Br 3.62, 4 As 3.79
Mo1 0.0000 0.0000 0.0000  2 As 2.44, 4 Br 2.68
As1 0.0000 0.0000 0.5000  2 Mo 2.44

Results
Theoretical density (g/cm³): 4.241
Magnetization (μB/cell): 1.82
Space group: P4/mmm (123)
Volume (Å³ per atom): 28.01



--- ii ---
Material: AlMoAsBr2
Method: DFT, PBE
State: relaxed

a b c (Å): 4.9355 4.9355 5.1768
angles (deg): 90.00 90.00 90.00
With the nearest neighbours (Å) after each atom.
Positions (direct):
As1 0.0000 0.0000 0.5000  2 Al 2.59
Mo1 0.5000 0.5000 0.5000  4 As 3.49, 8 Br 3.58
Br1 0.0000 0.5000 0.0000  2 Al 2.47
Br2 0.5000 0.0000 0.0000  2 Al 2.47
Al1 0.0000 0.0000 0.0000  4 Br 2.47, 2 As 2.59

Results
Theoretical density (g/cm³): 4.710
Magnetization (μB/cell): 3.76
Space group: P4/mmm (123)
Volume (Å³ per atom): 25.22



What should be chosen as the least stable of them? Choose ii.



--- i ---
Material: AlAs2BrN
Method: DFT, PBE
State: relaxed

a b c (Å): 4.3534 4.3534 4.7808
angles (deg): 90.00 90.00 90.00
With the nearest neighbours (Å) after each atom.
Positions (direct):
N1 0.0000 0.0000 0.0000  4 As 2.18, 2 Br 2.39
As1 0.5000 0.0000 0.0000  2 N 2.18
As2 0.0000 0.5000 0.0000  2 N 2.18
Al1 0.5000 0.5000 0.5000  4 Br 3.08, 8 As 3.23
Br1 0.0000 0.0000 0.5000  2 N 2.39

Results
Theoretical density (g/cm³): 4.962
Magnetization (μB/cell): 0.00
Space group: P4/mmm (123)
Volume (Å³ per atom): 18.12



--- ii ---
Material: AlAs2BrN
Method: DFT, PBE
State: relaxed

a b c (Å): 4.9472 4.9472 5.1644
angles (deg): 90.00 90.00 90.00
With the nearest neighbours (Å) after each atom.
Positions (direct):
As1 0.0000 0.5000 0.0000  2 Al 2.47
As2 0.5000 0.0000 0.0000  2 Al 2.47
Br1 0.0000 0.0000 0.5000  2 Al 2.58
Al1 0.0000 0.0000 0.0000  4 As 2.47, 2 Br 2.58
N1 0.5000 0.5000 0.5000  4 Br 3.50, 8 As 3.58

Results
Theoretical density (g/cm³): 3.557
Magnetization (μB/cell): 1.23
Space group: P4/mmm (123)
Volume (Å³ per atom): 25.28



What should be chosen as the least stable of them? Choose ii.